No. 1
Pm3Sm7Y2 | Alexandria | PBE-GGA | optimized geometry; E_form = 0.075 eV per atom; density of states at the Fermi level = 1.5258 states/eV per atom; relative energy among the computed polymorphs = 0 meV per atom; magnetic moment = 0.0 μB per formula unit; mass density = 6.779 g/cm3; space-group type = P2/m (10)
1.0
6.463 0.000 0.000
0.000 3.574 0.000
-1.891 0.000 17.660
Pm Sm Y
3 7 2
Cartesian
0.000 0.000 0.000 Pm
-0.929 1.787 11.664 Pm
5.502 1.787 5.996 Pm
1.154 1.787 2.946 Sm
0.628 0.000 8.865 Sm
0.213 0.000 14.689 Sm
3.232 1.787 0.000 Sm
4.359 0.000 2.970 Sm
3.944 0.000 8.795 Sm
3.418 1.787 14.714 Sm
2.240 0.000 5.809 Y
2.332 0.000 11.851 Y

No. 2
TiRhPb3 | Alexandria | PBE-GGA | optimized geometry; E_form = 0.856 eV per atom; density of states at the Fermi level = 1.5568 states/eV per atom; relative energy among the computed polymorphs = 201 meV per atom; magnetic moment = 1.3 μB per formula unit; mass density = 8.557 g/cm3; space-group type = Pm-3m (221)
1.0
5.312 0.000 0.000
0.000 5.312 0.000
0.000 0.000 5.312
Ti Rh Pb
1 1 3
Cartesian
0.000 0.000 0.000 Ti
2.656 2.656 2.656 Rh
0.000 0.000 2.656 Pb
0.000 2.656 0.000 Pb
2.656 0.000 0.000 Pb

No. 3
BeInP2 | Alexandria | PBE-GGA | optimized geometry; E_form = 0.699 eV per atom; density of states at the Fermi level = 0.6259 states/eV per atom; magnetic moment = 0.0 μB per formula unit; mass density = 4.657 g/cm3; space-group type = P4/mmm (123)
1.0
4.355 0.000 0.000
0.000 4.355 0.000
0.000 0.000 3.493
Be In P
1 1 2
Cartesian
0.000 0.000 0.000 Be
2.177 2.177 0.000 In
0.000 2.177 1.746 P
2.177 0.000 1.746 P